No. 1
First-principles (PBE-GGA) data for Zn2Ge2Pb after structural relaxation, as listed in Alexandria.

a b c (Å): 7.960 7.960 3.209
angles (deg): 90.00 90.00 90.00
Atoms (fractional coordinates):
Zn1 0.123 0.377 0.000
Zn2 0.377 0.877 0.000
Zn3 0.623 0.123 0.000
Zn4 0.877 0.623 0.000
Ge1 0.172 0.672 0.500
Ge2 0.328 0.172 0.500
Ge3 0.672 0.828 0.500
Ge4 0.828 0.328 0.500
Pb1 0.000 0.000 0.000
Pb2 0.500 0.500 0.000

## Properties
**DOS(E_F)**: 0.363 states/eV per atom
**Formation enthalpy at 0 K**: 0.205 eV per atom
**DFT total energy**: -2.893 eV per atom
**Offset from the most stable computed form**: 87 meV per atom



No. 2
First-principles (PBE-GGA) data for CuOsSe3 after structural relaxation, as listed in Alexandria.

a b c (Å): 4.899 4.899 4.899
angles (deg): 90.00 90.00 90.00
Atoms (fractional coordinates):
Cu1 0.000 0.000 0.000
Os1 0.500 0.500 0.500
Se1 0.000 0.500 0.500
Se2 0.500 0.000 0.500
Se3 0.500 0.500 0.000

## Properties
**Formation energy from raw total energies**: 428 kJ/mol of formula units
**DOS(E_F)**: 1.373 states/eV per atom
**DFT total energy**: -4.269 eV per atom
**Offset from the most stable computed form**: 0 meV per atom



No. 3
First-principles (PBE-GGA) data for Sr3Mg3Sn8 after structural relaxation, as listed in Alexandria.

a b c (Å): 9.808 9.808 9.808
angles (deg): 152.49 106.38 80.28
Atoms (fractional coordinates):
Sr1 0.000 0.000 0.000
Sr2 0.294 0.294 0.000
Sr3 0.706 0.706 0.000
Mg1 0.314 0.500 0.814
Mg2 0.500 0.000 0.500
Mg3 0.686 0.500 0.186
Sn1 0.011 0.649 0.362
Sn2 0.166 0.862 0.304
Sn3 0.287 0.649 0.638
Sn4 0.442 0.138 0.304
Sn5 0.558 0.862 0.696
Sn6 0.713 0.351 0.362
Sn7 0.834 0.138 0.696
Sn8 0.989 0.351 0.638

## Properties
**DOS(E_F)**: 0.411 states/eV per atom
**Formation enthalpy at 0 K**: -0.327 eV per atom
**DFT total energy**: -3.317 eV per atom



No. 4
First-principles (PBE-GGA) data for CsSr2ScAg after structural relaxation, as listed in Alexandria.

a b c (Å): 6.220 6.220 6.590
angles (deg): 90.00 90.00 90.00
Atoms (fractional coordinates):
Cs1 0.000 0.000 0.000
Sr1 0.000 0.500 0.500
Sr2 0.500 0.000 0.500
Sc1 0.500 0.500 0.000
Ag1 0.000 0.000 0.500

## Properties
**DOS(E_F)**: 2.556 states/eV per atom
**Formation enthalpy at 0 K**: 0.495 eV per atom
**DFT total energy**: -2.185 eV per atom



No. 5
First-principles (PBE-GGA) data for Sr2NbReH after structural relaxation, as listed in Alexandria.

a b c (Å): 4.329 4.329 5.286
angles (deg): 90.00 90.00 90.00
Atoms (fractional coordinates):
Sr1 0.000 0.500 0.000
Sr2 0.500 0.000 0.000
Nb1 0.000 0.000 0.500
Re1 0.500 0.500 0.500
H1 0.000 0.000 0.000

## Properties
**DOS(E_F)**: 0.646 states/eV per atom
**DFT total energy**: -4.979 eV per atom



No. 6
First-principles (PBE-GGA) data for K2HgW2 after structural relaxation, as listed in Alexandria.

a b c (Å): 10.544 10.544 2.816
angles (deg): 90.00 90.00 90.00
Atoms (fractional coordinates):
K1 0.207 0.293 0.000
K2 0.293 0.793 0.000
K3 0.707 0.207 0.000
K4 0.793 0.707 0.000
Hg1 0.000 0.000 0.000
Hg2 0.500 0.500 0.000
W1 0.076 0.576 0.500
W2 0.424 0.076 0.500
W3 0.576 0.924 0.500
W4 0.924 0.424 0.500

## Properties
**DOS(E_F)**: 0.849 states/eV per atom
**Formation enthalpy at 0 K**: 1.356 eV per atom
**DFT total energy**: -4.325 eV per atom
**Offset from the most stable computed form**: 497 meV per atom



No. 7
First-principles (PBE-GGA) data for TaZnTe2Os after structural relaxation, as listed in Alexandria.

a b c (Å): 4.995 4.995 4.559
angles (deg): 90.00 90.00 90.00
Atoms (fractional coordinates):
Ta1 0.000 0.000 0.000
Zn1 0.500 0.500 0.500
Te1 0.000 0.500 0.500
Te2 0.500 0.000 0.500
Os1 0.500 0.500 0.000

## Properties
**Formation energy from raw total energies**: 770 kJ/mol of formula units
**DOS(E_F)**: 1.371 states/eV per atom
**DFT total energy**: -4.532 eV per atom



No. 8
First-principles (PBE-GGA) data for TiAgPt after structural relaxation, as listed in Alexandria.

a b c (Å): 6.448 5.990 4.586
angles (deg): 73.79 63.13 43.07
Atoms (fractional coordinates):
Ti1 0.250 0.250 0.250
Ti2 0.750 0.750 0.750
Ag1 0.176 0.824 0.176
Ag2 0.824 0.176 0.824
Pt1 0.369 0.369 0.631
Pt2 0.631 0.631 0.369

## Properties
**DOS(E_F)**: 0.757 states/eV per atom
**Formation enthalpy at 0 K**: -0.303 eV per atom
**DFT total energy**: -5.899 eV per atom
**Offset from the most stable computed form**: 196 meV per atom



Copy entry 2 word for word.
First-principles (PBE-GGA) data for CuOsSe3 after structural relaxation, as listed in Alexandria.

a b c (Å): 4.899 4.899 4.899
angles (deg): 90.00 90.00 90.00
Atoms (fractional coordinates):
Cu1 0.000 0.000 0.000
Os1 0.500 0.500 0.500
Se1 0.000 0.500 0.500
Se2 0.500 0.000 0.500
Se3 0.500 0.500 0.000

## Properties
**Formation energy from raw total energies**: 428 kJ/mol of formula units
**DOS(E_F)**: 1.373 states/eV per atom
**DFT total energy**: -4.269 eV per atom
**Offset from the most stable computed form**: 0 meV per atom



- The lowest DFT total energy belongs to which entry?
  TiAgPt